Crystalline NiPt2S at its relaxed geometry, computed with GGA-PBE.

Calculated values
As for the calculated density: 10.73 Mg/m³. Its density of states at the Fermi level is 34.801 states/eV/cell. The crystal system is tetragonal. The value obtained for the total energy is -81.7 eV/cell.

Lattice parameters (Å, degrees): 4.7803 4.7803 13.0272 90.00 90.00 90.00
With the nearest neighbours (Å) after each atom.
Space group I-42d (No. 122)
Asymmetric unit:
1 Ni 0.0000 0.0000 0.0000 x4  4 Pt 2.44
2 Pt 0.2122 0.2500 0.6250 x8  2 S 2.26, 2 Ni 2.44
3 S 0.0000 0.0000 0.5000 x4  4 Pt 2.26